The following is a PBE calculation of a relaxed LiFePb2 crystal, from the Alexandria database.

Computed properties:
* calculated total energy: -16.57 eV per cell

abc: 3.447 3.447 7.223
angles: 90.00 90.00 90.00
Fractional coordinates of all 4 atoms:
Li 0.000 0.000 0.000
Fe 0.500 0.500 0.828
Pb 0.000 0.000 0.605
Pb 0.500 0.500 0.228

---

The following is a PBE calculation of a relaxed LiFePb2 crystal, from the Alexandria database.

Computed properties:
* calculated total energy: -16.80 eV per cell

abc: 4.888 4.888 3.487
angles: 90.62 90.62 90.34
Fractional coordinates of all 4 atoms:
Li 0.000 0.000 0.000
Fe 0.500 0.500 0.000
Pb 0.000 0.500 0.500
Pb 0.500 0.000 0.500

---

The following is a PBE calculation of a relaxed Li2FePb crystal, from the Alexandria database.

Computed properties:
* calculated total energy: -15.11 eV per cell

abc: 4.889 4.889 3.146
angles: 90.00 90.00 109.83
Fractional coordinates of all 4 atoms:
Li 0.000 0.500 0.000
Li 0.500 0.000 0.000
Fe 0.000 0.000 0.500
Pb 0.500 0.500 0.500

---

The following is a PBE calculation of a relaxed Li2FePb crystal, from the Alexandria database.

Computed properties:
* calculated total energy: -15.50 eV per cell

abc: 3.960 3.960 4.341
angles: 90.00 90.00 90.00
Fractional coordinates of all 4 atoms:
Li 0.000 0.500 0.000
Li 0.500 0.000 0.000
Fe 0.000 0.000 0.500
Pb 0.500 0.500 0.500

---

The following is a PBE calculation of a relaxed Li2FePb crystal, from the Alexandria database.

Computed properties:
* calculated total energy: -15.16 eV per cell

abc: 3.070 3.916 5.993
angles: 90.00 90.00 90.00
Fractional coordinates of all 4 atoms:
Li 0.000 0.000 0.000
Li 0.500 0.500 0.244
Fe 0.500 0.500 0.772
Pb 0.000 0.000 0.525

---

The following is a PBE calculation of a relaxed LiFePb3 crystal, from the Alexandria database.

Computed properties:
* offset from the most stable computed form: 0.000 eV/atom
* calculated total energy: -20.34 eV per cell

abc: 5.210 5.210 5.210
angles: 90.00 90.00 90.00
Fractional coordinates of all 5 atoms:
Li 0.000 0.000 0.000
Fe 0.500 0.500 0.500
Pb 0.000 0.500 0.500
Pb 0.500 0.000 0.500
Pb 0.500 0.500 0.000

---

The following is a PBE calculation of a relaxed Li2FePb crystal, from the Alexandria database.

Computed properties:
* calculated total energy: -15.15 eV per cell

abc: 3.077 4.217 5.527
angles: 90.00 90.00 90.00
Fractional coordinates of all 4 atoms:
Li 0.000 0.000 0.232
Li 0.000 0.000 0.768
Fe 0.500 0.500 0.000
Pb 0.500 0.500 0.500

---

The following is a PBE calculation of a relaxed LiFePb3 crystal, from the Alexandria database.

Computed properties:
* offset from the most stable computed form: 0.462 eV/atom
* calculated total energy: -18.03 eV per cell

abc: 5.109 5.109 5.109
angles: 90.00 90.00 90.00
Fractional coordinates of all 5 atoms:
Li 0.000 0.000 0.000
Fe 0.500 0.500 0.500
Pb 0.000 0.000 0.500
Pb 0.000 0.500 0.000
Pb 0.500 0.000 0.000

---

The following is a PBE calculation of a relaxed LiFePb2 crystal, from the Alexandria database.

Computed properties:
* calculated total energy: -17.00 eV per cell

abc: 9.133 9.133 9.133
angles: 21.15 21.15 21.15
Fractional coordinates of all 4 atoms:
Li 0.000 0.000 0.000
Fe 0.500 0.500 0.500
Pb 0.245 0.245 0.245
Pb 0.755 0.755 0.755

---

The following is a PBE calculation of a relaxed Li2FePb crystal, from the Alexandria database.

Computed properties:
* calculated total energy: -15.35 eV per cell

abc: 5.393 5.393 4.378
angles: 113.82 113.82 37.27
Fractional coordinates of all 4 atoms:
Li 0.242 0.242 0.241
Li 0.758 0.758 0.759
Fe 0.500 0.500 0.000
Pb 0.000 0.000 0.500

---

The following is a PBE calculation of a relaxed LiFePb2 crystal, from the Alexandria database.

Computed properties:
* calculated total energy: -17.00 eV per cell

abc: 3.437 3.437 7.136
angles: 90.00 90.00 90.00
Fractional coordinates of all 4 atoms:
Li 0.000 0.000 0.000
Fe 0.000 0.000 0.500
Pb 0.500 0.500 0.272
Pb 0.500 0.500 0.728

---

The following is a PBE calculation of a relaxed LiFe4Pb crystal, from the Alexandria database.

Computed properties:
* calculated total energy: -37.99 eV per cell

abc: 4.955 4.955 4.955
angles: 60.00 60.00 60.00
Fractional coordinates of all 6 atoms:
Li 0.000 0.000 0.000
Fe 0.374 0.374 0.374
Fe 0.374 0.374 0.879
Fe 0.374 0.879 0.374
Fe 0.879 0.374 0.374
Pb 0.750 0.750 0.750

---

The following is a PBE calculation of a relaxed LiFePb2 crystal, from the Alexandria database.

Computed properties:
* calculated total energy: -16.81 eV per cell

abc: 4.716 4.716 5.927
angles: 102.01 102.01 42.96
Fractional coordinates of all 4 atoms:
Li 0.000 0.000 0.000
Fe 0.500 0.500 0.500
Pb 0.238 0.238 0.729
Pb 0.762 0.762 0.271

---

The following is a PBE calculation of a relaxed LiFePb2 crystal, from the Alexandria database.

Computed properties:
* calculated total energy: -16.93 eV per cell

abc: 5.541 5.541 4.450
angles: 90.13 90.13 37.34
Fractional coordinates of all 4 atoms:
Li 0.000 0.000 0.000
Fe 0.834 0.834 0.499
Pb 0.280 0.280 0.999
Pb 0.554 0.554 0.500

---

The following is a PBE calculation of a relaxed LiFePb2 crystal, from the Alexandria database.

Computed properties:
* calculated total energy: -16.75 eV per cell

abc: 5.783 5.783 5.783
angles: 138.25 138.25 60.52
Fractional coordinates of all 4 atoms:
Li 0.000 0.000 0.000
Fe 0.750 0.250 0.500
Pb 0.250 0.750 0.500
Pb 0.500 0.500 0.000

---

The following is a PBE calculation of a relaxed Li4FePb crystal, from the Alexandria database.

Computed properties:
* calculated total energy: -18.61 eV per cell

abc: 5.159 5.159 5.159
angles: 60.00 60.00 60.00
Fractional coordinates of all 6 atoms:
Li 0.376 0.376 0.376
Li 0.376 0.376 0.873
Li 0.376 0.873 0.376
Li 0.873 0.376 0.376
Fe 0.750 0.750 0.750
Pb 0.000 0.000 0.000

---

The following is a PBE calculation of a relaxed LiFePb2 crystal, from the Alexandria database.

Computed properties:
* calculated total energy: -16.67 eV per cell

abc: 3.843 3.853 5.699
angles: 90.00 90.00 90.00
Fractional coordinates of all 4 atoms:
Li 0.000 0.000 0.000
Fe 0.500 0.500 0.714
Pb 0.000 0.000 0.538
Pb 0.500 0.500 0.198

---

The following is a PBE calculation of a relaxed Li2FePb crystal, from the Alexandria database.

Computed properties:
* calculated total energy: -15.17 eV per cell

abc: 3.080 4.696 5.041
angles: 90.00 99.29 90.00
Fractional coordinates of all 4 atoms:
Li 0.235 0.000 0.268
Li 0.765 0.000 0.732
Fe 0.000 0.500 0.500
Pb 0.500 0.500 0.000

---

The following is a PBE calculation of a relaxed LiFePb4 crystal, from the Alexandria database.

Computed properties:
* calculated total energy: -21.73 eV per cell

abc: 6.380 6.380 6.380
angles: 60.00 60.00 60.00
Fractional coordinates of all 6 atoms:
Li 0.000 0.000 0.000
Fe 0.250 0.250 0.250
Pb 0.127 0.624 0.624
Pb 0.624 0.127 0.624
Pb 0.624 0.624 0.127
Pb 0.624 0.624 0.624

---

The following is a PBE calculation of a relaxed Li2FePb crystal, from the Alexandria database.

Computed properties:
* calculated total energy: -29.17 eV per cell

abc: 5.923 5.923 5.923
angles: 101.58 101.58 126.76
Fractional coordinates of all 8 atoms:
Li 0.100 0.125 0.475
Li 0.375 0.900 0.025
Li 0.650 0.625 0.525
Li 0.875 0.350 0.975
Fe 0.000 0.000 0.000
Fe 0.750 0.250 0.500
Pb 0.250 0.750 0.500
Pb 0.500 0.500 0.000

---

We obtain magnetic moment values of 2.347, 2.674, 2.672, 2.409, 2.524, 2.507, 2.751, 3.124, 2.350, 2.602, 2.220, 9.062, 2.428, 2.464, 2.836, 2.386, 2.337, 2.604, 3.236, 4.463 μB/cell for the records listed above, in that order.